Run P
An optimized crystal structure of MgBe2Se. Source: the Alexandria database, functional PBE.

Cell lengths 4.2260, 3.6089, 4.3093 Å; angles 90.00, 90.00, 90.00 degrees
Fractional positions:
Be 0.0000 0.7506 0.0098
Be 0.0000 0.7494 0.4902
Mg 0.5000 0.2500 0.2500
Se 0.5000 0.7500 0.7500

Results
space-group type	No. 47
magnetic moment	0.0	μB/f.u.

=====

Run Q
An optimized crystal structure of MgBe2Se. Source: the Alexandria database, functional PBE.

Cell lengths 4.8823, 4.8823, 4.8823 Å; angles 140.01, 122.53, 72.31 degrees
Fractional positions:
Be 0.0065 0.0065 0.0000
Be 0.7810 0.2810 0.5000
Mg 0.5015 0.5015 0.0000
Se 0.2109 0.7109 0.5000

Results
space-group type	No. 44
magnetic moment	0.0	μB/f.u.

=====

Stability ranking, top entry: run P; the second entry is 15.4 kJ/mol of atoms less favorable.

=====

Run P
An optimized crystal structure of MgBe3Se. Source: the Alexandria database, functional PBE.

Cell lengths 4.4026, 4.4026, 4.4026 Å; angles 90.00, 90.00, 90.00 degrees
Fractional positions:
Be 0.0000 0.5000 0.0000
Be 0.0000 0.0000 0.5000
Be 0.5000 0.0000 0.0000
Mg 0.5000 0.5000 0.5000
Se 0.0000 0.0000 0.0000

Results
space-group type	No. 221
magnetic moment	0.0	μB/f.u.

=====

Run Q
An optimized crystal structure of MgBe3Se. Source: the Alexandria database, functional PBE.

Cell lengths 4.5587, 4.5587, 4.5587 Å; angles 90.00, 90.00, 90.00 degrees
Fractional positions:
Be 0.0000 0.5000 0.0000
Be 0.0000 0.0000 0.5000
Be 0.5000 0.0000 0.0000
Mg 0.0000 0.0000 0.0000
Se 0.5000 0.5000 0.5000

Results
space-group type	No. 221
magnetic moment	0.0	μB/f.u.

=====

Stability ranking, top entry: run P; the second entry is 58.8 kJ/mol of atoms less favorable.

=====

Run P
An optimized crystal structure of Mg3BeSe. Source: the Alexandria database, functional PBE.

Cell lengths 4.9959, 4.9959, 4.9959 Å; angles 90.00, 90.00, 90.00 degrees
Fractional positions:
Be 0.5000 0.5000 0.5000
Mg 0.0000 0.5000 0.0000
Mg 0.0000 0.0000 0.5000
Mg 0.5000 0.0000 0.0000
Se 0.0000 0.0000 0.0000

Results
space-group type	No. 221
magnetic moment	0.0	μB/f.u.

=====

Run Q
An optimized crystal structure of Mg3BeSe. Source: the Alexandria database, functional PBE.

Cell lengths 4.7586, 4.7586, 4.7586 Å; angles 90.00, 90.00, 90.00 degrees
Fractional positions:
Be 0.0000 0.0000 0.0000
Mg 0.0000 0.5000 0.0000
Mg 0.0000 0.0000 0.5000
Mg 0.5000 0.0000 0.0000
Se 0.5000 0.5000 0.5000

Results
space-group type	No. 221
magnetic moment	0.0	μB/f.u.

=====

Stability ranking, top entry: run Q; the second entry is 29.5 kJ/mol of atoms less favorable.